No. 1
# KSi2RhSe8

A geometry-optimized KSi2RhSe8 structure (GGA-PBE, Alexandria).

The structure in POSCAR format:
```
KSi2RhSe8
1.0
6.079 0.000 0.000
-3.039 5.264 0.000
0.000 0.000 9.627
K Si Rh Se
1 2 1 8
Direct
0.000 0.000 0.000
0.333 0.667 0.722
0.667 0.333 0.278
0.000 0.000 0.500
0.041 0.696 0.344
0.304 0.346 0.344
0.333 0.667 0.957
0.346 0.041 0.656
0.654 0.959 0.344
0.667 0.333 0.043
0.696 0.654 0.656
0.959 0.304 0.656
```

Computed properties:
Space-group type: P-3 (147)


No. 2
# KTaRhSe3

A geometry-optimized KTaRhSe3 structure (GGA-PBE, Alexandria).

The structure in POSCAR format:
```
KTaRhSe3
1.0
8.384 0.000 0.000
0.000 3.659 0.000
-3.986 0.000 9.301
K Ta Rh Se
2 2 2 6
Direct
0.242 0.250 0.217
0.758 0.750 0.783
0.208 0.750 0.670
0.792 0.250 0.330
0.411 0.250 0.874
0.589 0.750 0.126
0.045 0.750 0.376
0.252 0.750 0.936
0.403 0.250 0.624
0.597 0.750 0.376
0.748 0.250 0.064
0.955 0.250 0.624
```

Computed properties:
Space-group type: P2_1/m (11)


No. 3
# K3TcRh3Se8

A geometry-optimized K3TcRh3Se8 structure (GGA-PBE, Alexandria).

The structure in POSCAR format:
```
K3TcRh3Se8
1.0
3.827 2.210 7.382
-3.827 2.210 7.382
0.000 -4.419 7.382
K Tc Rh Se
3 1 3 8
Direct
0.000 0.500 0.500
0.500 0.000 0.500
0.500 0.500 0.000
0.500 0.500 0.500
0.000 0.000 0.500
0.000 0.500 0.000
0.500 0.000 0.000
0.218 0.728 0.728
0.222 0.222 0.222
0.272 0.272 0.782
0.272 0.782 0.272
0.728 0.218 0.728
0.728 0.728 0.218
0.778 0.778 0.778
0.782 0.272 0.272
```

Computed properties:
Space-group type: R-3m (166)


No. 4
# KTcRhSe2

A geometry-optimized KTcRhSe2 structure (GGA-PBE, Alexandria).

The structure in POSCAR format:
```
KTcRhSe2
1.0
5.491 0.000 0.000
0.000 5.491 0.000
0.000 0.000 5.042
K Tc Rh Se
1 1 1 2
Direct
0.000 0.000 0.000
0.000 0.000 0.500
0.500 0.500 0.500
0.000 0.500 0.000
0.500 0.000 0.000
```

Computed properties:
Space-group type: P4/mmm (123)


no.,formation energy (no corrections) (eV/atom)
1,-0.299
2,-0.814
3,-0.606
4,2.173